Entry 1:
TbEuCuPt: optimized geometry, GGA-PBE.

abc: 5.010 5.010 5.010
angles: 60.00 60.00 60.00
Each line ends with the local moment (μB).
Fractional positions:
Eu (0.000, 0.000, 0.000)  6.75
Tb (0.500, 0.500, 0.500)  0.04
Cu (0.250, 0.250, 0.250)  0.01
Pt (0.750, 0.750, 0.750)  -0.02

Results
Symmetry = F-43m, No. 216
Energy relative to the elements = -0.605 eV per atom
M_tot = 1.7490 μB/atom

=====

Entry 2:
EuYCuPt: optimized geometry, GGA-PBE.

abc: 5.009 5.009 5.009
angles: 60.00 60.00 60.00
Each line ends with the local moment (μB).
Fractional positions:
Eu (0.000, 0.000, 0.000)  6.75
Y (0.500, 0.500, 0.500)  0.03
Cu (0.250, 0.250, 0.250)  0.01
Pt (0.750, 0.750, 0.750)  -0.02

Results
Symmetry = F-43m, No. 216
Energy relative to the elements = -0.601 eV per atom
M_tot = 1.7519 μB/atom

=====

Entry 3:
EuPuCu: optimized geometry, GGA-PBE.

abc: 3.535 3.535 6.748
angles: 105.19 105.19 90.00
Each line ends with the local moment (μB).
Fractional positions:
Eu (0.024, 0.024, 0.047)  -6.96
Cu (0.673, 0.673, 0.346)  -0.04
Pu (0.303, 0.303, 0.607)  -5.59

Results
Symmetry = I4mm, No. 107
Energy relative to the elements = 0.128 eV per atom
M_tot = 4.5107 μB/atom

=====

Entry 4:
EuPuCuRh: optimized geometry, GGA-PBE.

abc: 4.952 4.952 4.952
angles: 60.00 60.00 60.00
Each line ends with the local moment (μB).
Fractional positions:
Eu (0.500, 0.500, 0.500)  6.67
Rh (0.750, 0.750, 0.750)  0.14
Cu (0.250, 0.250, 0.250)  -0.01
Pu (0.000, 0.000, 0.000)  -5.18

Results
Symmetry = F-43m, No. 216
Energy relative to the elements = -0.142 eV per atom
M_tot = 0.3762 μB/atom

=====

Repeat the fourth record exactly.
EuPuCuRh: optimized geometry, GGA-PBE.

abc: 4.952 4.952 4.952
angles: 60.00 60.00 60.00
Each line ends with the local moment (μB).
Fractional positions:
Eu (0.500, 0.500, 0.500)  6.67
Rh (0.750, 0.750, 0.750)  0.14
Cu (0.250, 0.250, 0.250)  -0.01
Pu (0.000, 0.000, 0.000)  -5.18

Results
Symmetry = F-43m, No. 216
Energy relative to the elements = -0.142 eV per atom
M_tot = 0.3762 μB/atom